Entry a
Here is an optimized crystal structure of Y2NiHRh from Alexandria. Energies are from PBE-GGA.

a = 4.8560 Å, b = 4.8560 Å, c = 3.4757 Å
α = 90.00°, β = 90.00°, γ = 90.00°
Atoms (fractional coordinates):
1 Y 0.0000 0.5000 0.0000
2 Y 0.5000 0.0000 0.0000
3 Ni 0.0000 0.0000 0.5000
4 H 0.0000 0.0000 0.0000
5 Rh 0.5000 0.5000 0.5000

Output
- Total magnetization: 0.00 μB/cell
- V: 82 Å³/cell
- Symmetry: No. 123

Entry b
Here is an optimized crystal structure of Y2NiHRh from Alexandria. Energies are from PBE-GGA.

a = 4.8979 Å, b = 4.8979 Å, c = 3.5199 Å
α = 90.00°, β = 90.00°, γ = 90.00°
Atoms (fractional coordinates):
1 Y 0.0000 0.5000 0.0000
2 Y 0.5000 0.0000 0.0000
3 Ni 0.0000 0.0000 0.5000
4 H 0.5000 0.5000 0.0000
5 Rh 0.5000 0.5000 0.5000

Output
- Total magnetization: 0.00 μB/cell
- V: 84 Å³/cell
- Symmetry: No. 123

Most stable to least stable: entry a, entry b

Entry a
Here is an optimized crystal structure of ZnNi2HRh from Alexandria. Energies are from PBE-GGA.

a = 3.5896 Å, b = 3.5896 Å, c = 4.0472 Å
α = 90.00°, β = 90.00°, γ = 90.00°
Atoms (fractional coordinates):
1 Zn 0.0000 0.0000 0.0000
2 Ni 0.0000 0.5000 0.5000
3 Ni 0.5000 0.0000 0.5000
4 H 0.0000 0.0000 0.5000
5 Rh 0.5000 0.5000 0.0000

Output
- Total magnetization: 0.86 μB/cell
- V: 52 Å³/cell
- Symmetry: No. 123

Entry b
Here is an optimized crystal structure of ZnNi2HRh from Alexandria. Energies are from PBE-GGA.

a = 3.6770 Å, b = 3.6770 Å, c = 3.8627 Å
α = 90.00°, β = 90.00°, γ = 90.00°
Atoms (fractional coordinates):
1 Zn 0.0000 0.0000 0.0000
2 Ni 0.0000 0.5000 0.5000
3 Ni 0.5000 0.0000 0.5000
4 H 0.5000 0.5000 0.5000
5 Rh 0.5000 0.5000 0.0000

Output
- Total magnetization: 1.19 μB/cell
- V: 52 Å³/cell
- Symmetry: No. 123

Most stable to least stable: entry b, entry a

Entry a
Here is an optimized crystal structure of Zn2NiHRh from Alexandria. Energies are from PBE-GGA.

a = 4.1670 Å, b = 4.1670 Å, c = 3.1943 Å
α = 90.00°, β = 90.00°, γ = 90.00°
Atoms (fractional coordinates):
1 Zn 0.0000 0.5000 0.0000
2 Zn 0.5000 0.0000 0.0000
3 Ni 0.0000 0.0000 0.5000
4 H 0.0000 0.0000 0.0000
5 Rh 0.5000 0.5000 0.5000

Output
- Total magnetization: 0.00 μB/cell
- V: 55 Å³/cell
- Symmetry: No. 123

Entry b
Here is an optimized crystal structure of Zn2NiHRh from Alexandria. Energies are from PBE-GGA.

a = 4.0807 Å, b = 4.0807 Å, c = 3.3931 Å
α = 90.00°, β = 90.00°, γ = 90.00°
Atoms (fractional coordinates):
1 Zn 0.0000 0.5000 0.0000
2 Zn 0.5000 0.0000 0.0000
3 Ni 0.0000 0.0000 0.5000
4 H 0.5000 0.5000 0.0000
5 Rh 0.5000 0.5000 0.5000

Output
- Total magnetization: 0.00 μB/cell
- V: 57 Å³/cell
- Symmetry: No. 123

Most stable to least stable: entry a, entry b

Entry a
Here is an optimized crystal structure of ZrNiHRh2 from Alexandria. Energies are from PBE-GGA.

a = 4.0154 Å, b = 4.0154 Å, c = 3.8263 Å
α = 90.00°, β = 90.00°, γ = 90.00°
Atoms (fractional coordinates):
1 Zr 0.0000 0.0000 0.0000
2 Ni 0.5000 0.5000 0.0000
3 H 0.5000 0.5000 0.5000
4 Rh 0.0000 0.5000 0.5000
5 Rh 0.5000 0.0000 0.5000

Output
- Total magnetization: 0.28 μB/cell
- V: 62 Å³/cell
- Symmetry: No. 123

Entry b
Here is an optimized crystal structure of ZrNiHRh2 from Alexandria. Energies are from PBE-GGA.

a = 3.9113 Å, b = 3.9113 Å, c = 4.1001 Å
α = 90.00°, β = 90.00°, γ = 90.00°
Atoms (fractional coordinates):
1 Zr 0.0000 0.0000 0.0000
2 Ni 0.5000 0.5000 0.0000
3 H 0.0000 0.0000 0.5000
4 Rh 0.0000 0.5000 0.5000
5 Rh 0.5000 0.0000 0.5000

Output
- Total magnetization: 0.36 μB/cell
- V: 63 Å³/cell
- Symmetry: No. 123

Most stable to least stable: entry a, entry b

Entry a
Here is an optimized crystal structure of NiHRu from Alexandria. Energies are from PBE-GGA.

a = 4.6459 Å, b = 4.6459 Å, c = 4.5641 Å
α = 99.71°, β = 99.71°, γ = 34.12°
Atoms (fractional coordinates):
1 Ni 0.1212 0.1212 0.3859
2 Ni 0.8788 0.8788 0.6141
3 H 0.2585 0.2585 0.7272
4 H 0.7415 0.7415 0.2728
5 Ru 0.3788 0.3788 0.1139
6 Ru 0.6212 0.6212 0.8861

Output
- Total magnetization: 0.00 μB/cell
- V: 54 Å³/cell
- Symmetry: No. 12

Entry b
Here is an optimized crystal structure of NiHRu from Alexandria. Energies are from PBE-GGA.

a = 2.7181 Å, b = 3.7818 Å, c = 5.3019 Å
α = 90.00°, β = 90.00°, γ = 90.00°
Atoms (fractional coordinates):
1 Ni 0.0000 0.0000 0.0000
2 Ni 0.5000 0.5000 0.2304
3 H 0.0000 0.5000 0.4404
4 H 0.5000 0.0000 0.2251
5 Ru 0.0000 0.0000 0.5149
6 Ru 0.5000 0.5000 0.7492

Output
- Total magnetization: 0.00 μB/cell
- V: 54 Å³/cell
- Symmetry: No. 25

Entry c
Here is an optimized crystal structure of NiHRu from Alexandria. Energies are from PBE-GGA.

a = 3.7472 Å, b = 2.7427 Å, c = 5.4671 Å
α = 90.00°, β = 91.60°, γ = 90.00°
Atoms (fractional coordinates):
1 Ni 0.2295 0.2500 0.3771
2 Ni 0.7705 0.7500 0.6229
3 H 0.4858 0.7500 0.3720
4 H 0.5142 0.2500 0.6280
5 Ru 0.2390 0.2500 0.8951
6 Ru 0.7610 0.7500 0.1049

Output
- Total magnetization: 0.00 μB/cell
- V: 56 Å³/cell
- Symmetry: No. 11

Entry d
Here is an optimized crystal structure of NiHRu from Alexandria. Energies are from PBE-GGA.

a = 2.7106 Å, b = 3.7465 Å, c = 5.3485 Å
α = 90.00°, β = 90.00°, γ = 90.00°
Atoms (fractional coordinates):
1 Ni 0.2500 0.2500 0.1208
2 Ni 0.7500 0.7500 0.8792
3 H 0.2500 0.7500 0.1148
4 H 0.7500 0.2500 0.8852
5 Ru 0.2500 0.2500 0.6120
6 Ru 0.7500 0.7500 0.3880

Output
- Total magnetization: 0.00 μB/cell
- V: 54 Å³/cell
- Symmetry: No. 59

Most stable to least stable: entry d, entry b, entry a, entry c

Entry a
Here is an optimized crystal structure of NiHRu from Alexandria. Energies are from PBE-GGA.

a = 3.7851 Å, b = 2.7104 Å, c = 5.4304 Å
α = 90.00°, β = 90.66°, γ = 90.00°
Atoms (fractional coordinates):
1 Ni 0.0000 0.0000 0.0000
2 Ni 0.4801 0.5000 0.7497
3 H 0.4502 0.0000 0.0250
4 H 0.7487 0.0000 0.7511
5 Ru 0.0068 0.0000 0.4802
6 Ru 0.4971 0.5000 0.2638

Output
- Total magnetization: 0.00 μB/cell
- V: 56 Å³/cell
- Symmetry: No. 6

Entry b
Here is an optimized crystal structure of NiHRu from Alexandria. Energies are from PBE-GGA.

a = 2.6992 Å, b = 4.6234 Å, c = 4.3643 Å
α = 90.00°, β = 90.00°, γ = 90.00°
Atoms (fractional coordinates):
1 Ni 0.0000 0.0829 0.0000
2 Ni 0.5000 0.9171 0.5000
3 H 0.0000 0.7900 0.7310
4 H 0.5000 0.2100 0.2310
5 Ru 0.0000 0.4154 0.5038
6 Ru 0.5000 0.5846 0.0038

Output
- Total magnetization: 0.00 μB/cell
- V: 54 Å³/cell
- Symmetry: No. 31

Entry c
Here is an optimized crystal structure of NiHRu from Alexandria. Energies are from PBE-GGA.

a = 4.6685 Å, b = 4.6685 Å, c = 4.5392 Å
α = 100.23°, β = 100.23°, γ = 34.16°
Atoms (fractional coordinates):
1 Ni 0.1311 0.1311 0.3878
2 Ni 0.8689 0.8689 0.6122
3 H 0.0000 0.0000 0.0000
4 H 0.5000 0.5000 0.5000
5 Ru 0.3691 0.3691 0.1146
6 Ru 0.6309 0.6309 0.8854

Output
- Total magnetization: 0.00 μB/cell
- V: 55 Å³/cell
- Symmetry: No. 12

Entry d
Here is an optimized crystal structure of NiHRu from Alexandria. Energies are from PBE-GGA.

a = 5.3867 Å, b = 5.3867 Å, c = 5.3867 Å
α = 152.54°, β = 152.54°, γ = 39.22°
Atoms (fractional coordinates):
1 Ni 0.0000 0.0000 0.0000
2 H 0.1577 0.1577 0.0000
3 Ru 0.3240 0.3240 0.0000

Output
- Total magnetization: 0.00 μB/cell
- V: 33 Å³/cell
- Symmetry: No. 107

Most stable to least stable: entry c, entry b, entry a, entry d